No. 1
DFT (PBE) results for a relaxed structure of Zn7Cu2Ni2.

Results
As for the theoretical density: 7.89 Mg/m³. The value obtained for the total energy is -2.715 eV/atom. The total magnetization is 0.000 μB per formula unit. As for the crystal system: orthorhombic. The calculation puts the formation energy at -2.50 kcal/mol of atoms. As for the space group: Imm2.

Cell lengths 4.0451, 6.7548, 6.7548 Å; angles 58.57, 72.58, 72.58 degrees
Closest atoms and distances in Å follow each position.
Sites, in units of the cell vectors:
Zn 0.6454 0.4838 0.2254  3 Cu 2.53-2.59, 2 Ni 2.58, 5 Zn 2.66-2.75
Zn 0.3546 0.7746 0.5162  3 Cu 2.53-2.59, 2 Ni 2.58, 5 Zn 2.66-2.75
Zn 0.1411 0.1753 0.5425  3 Ni 2.55-2.56, 3 Cu 2.55-2.56, 2 Zn 2.67-2.68
Zn 0.1529 0.7580 0.9362  3 Ni 2.48-2.51, 1 Cu 2.56, 6 Zn 2.66-2.75
Zn 0.5000 0.9609 0.0391  1 Cu 2.46, 2 Ni 2.53, 6 Zn 2.66-2.72
Zn 0.8471 0.0638 0.2420  3 Ni 2.48-2.51, 1 Cu 2.56, 6 Zn 2.66-2.75
Zn 0.8589 0.4575 0.8247  3 Ni 2.55-2.56, 3 Cu 2.55-2.56, 2 Zn 2.67-2.68
Cu 0.5000 0.3330 0.6670  7 Zn 2.46-2.56, 2 Ni 2.74
Cu 0.0000 0.6209 0.3791  8 Zn 2.55-2.59, 2 Cu 2.78
Ni 0.2899 0.3232 0.0971  9 Zn 2.48-2.58, 1 Cu 2.74
Ni 0.7101 0.9029 0.6768  9 Zn 2.48-2.58, 1 Cu 2.74

No. 2
DFT (PBE) results for a relaxed structure of Zn2Cu2Ni.

Results
The energy above the most stable polymorph in this dataset comes out at 133 meV/atom. As for the theoretical density: 8.06 Mg/m³. The value obtained for the total energy is -3.229 eV/atom. The total magnetization is 0.000 μB per formula unit. As for the crystal system: tetragonal. The calculation puts the formation energy at 1.75 kcal/mol of atoms. As for the space group: P4/mbm.

Cell lengths 6.8927, 6.8927, 2.7453 Å; angles 90.00, 90.00, 90.00 degrees
Closest atoms and distances in Å follow each position.
Sites, in units of the cell vectors:
Zn 0.3593 0.8593 0.0000  6 Cu 2.38-2.48, 2 Ni 2.66
Zn 0.6407 0.1407 0.0000  6 Cu 2.38-2.48, 2 Ni 2.66
Zn 0.1407 0.3593 0.0000  6 Cu 2.38-2.48, 2 Ni 2.66
Zn 0.8593 0.6407 0.0000  6 Cu 2.38-2.48, 2 Ni 2.66
Cu 0.8407 0.3407 0.5000  6 Zn 2.38-2.48
Cu 0.3407 0.1593 0.5000  6 Zn 2.38-2.48
Cu 0.6593 0.8407 0.5000  6 Zn 2.38-2.48
Cu 0.1593 0.6593 0.5000  6 Zn 2.38-2.48
Ni 0.0000 0.0000 0.0000  4 Zn 2.66, 2 Ni 2.75, 8 Cu 2.93
Ni 0.5000 0.5000 0.0000  4 Zn 2.66, 2 Ni 2.75, 8 Cu 2.93

No. 3
DFT (PBE) results for a relaxed structure of ZnCu5Ni2.

Results
As for the theoretical density: 8.79 Mg/m³. The value obtained for the total energy is -4.224 eV/atom. The total magnetization is 0.000 μB per formula unit. As for the crystal system: orthorhombic. The calculation puts the formation energy at -1.36 kcal/mol of atoms. As for the space group: Pbam.

Cell lengths 3.5842, 5.1380, 10.2655 Å; angles 90.00, 90.00, 90.00 degrees
Closest atoms and distances in Å follow each position.
Sites, in units of the cell vectors:
Ni 0.5000 0.7572 0.3761  2 Zn 2.53, 10 Cu 2.54-2.59
Ni 0.5000 0.2572 0.1239  2 Zn 2.53, 10 Cu 2.54-2.59
Ni 0.5000 0.7428 0.8761  2 Zn 2.53, 10 Cu 2.54-2.59
Ni 0.5000 0.2428 0.6239  2 Zn 2.53, 10 Cu 2.54-2.59
Zn 0.0000 0.5000 0.0000  4 Ni 2.53, 8 Cu 2.57-2.59
Zn 0.0000 0.0000 0.5000  4 Ni 2.53, 8 Cu 2.57-2.59
Cu 0.5000 0.7395 0.6274  6 Cu 2.53-2.54, 4 Ni 2.55-2.59, 2 Zn 2.59
Cu 0.0000 0.0109 0.2487  7 Cu 2.53-2.57, 4 Ni 2.54-2.57, 1 Zn 2.58
Cu 0.0000 0.5109 0.2513  7 Cu 2.53-2.57, 4 Ni 2.54-2.57, 1 Zn 2.58
Cu 0.0000 0.5000 0.5000  6 Cu 2.54-2.55, 4 Ni 2.56, 2 Zn 2.57
Cu 0.5000 0.2605 0.3726  6 Cu 2.53-2.54, 4 Ni 2.55-2.59, 2 Zn 2.59
Cu 0.5000 0.7605 0.1274  6 Cu 2.53-2.54, 4 Ni 2.55-2.59, 2 Zn 2.59
Cu 0.0000 0.0000 0.0000  6 Cu 2.54-2.55, 4 Ni 2.56, 2 Zn 2.57
Cu 0.0000 0.4891 0.7487  7 Cu 2.53-2.57, 4 Ni 2.54-2.57, 1 Zn 2.58
Cu 0.5000 0.2395 0.8726  6 Cu 2.53-2.54, 4 Ni 2.55-2.59, 2 Zn 2.59
Cu 0.0000 0.9891 0.7513  7 Cu 2.53-2.57, 4 Ni 2.54-2.57, 1 Zn 2.58

No. 4
DFT (PBE) results for a relaxed structure of ZnCuNi4.

Results
The energy above the most stable polymorph in this dataset comes out at 0 meV/atom. As for the theoretical density: 8.82 Mg/m³. The value obtained for the total energy is -4.814 eV/atom. The total magnetization is 1.156 μB per formula unit. As for the crystal system: orthorhombic. The calculation puts the formation energy at -1.49 kcal/mol of atoms. As for the space group: Cmmm.

Cell lengths 3.5892, 3.5901, 5.6094 Å; angles 90.00, 108.66, 90.00 degrees
Closest atoms and distances in Å follow each position.
Sites, in units of the cell vectors:
Cu 0.0000 0.0000 0.0000  4 Zn 2.54, 8 Ni 2.55-2.56
Ni 0.3289 0.0000 0.6577  8 Ni 2.46-2.54, 2 Cu 2.56, 2 Zn 2.56
Ni 0.8295 0.5000 0.6590  8 Ni 2.46-2.54, 2 Zn 2.55, 2 Cu 2.55
Ni 0.1705 0.5000 0.3410  8 Ni 2.46-2.54, 2 Zn 2.55, 2 Cu 2.55
Ni 0.6711 0.0000 0.3423  8 Ni 2.46-2.54, 2 Cu 2.56, 2 Zn 2.56
Zn 0.5000 0.5000 0.0000  4 Cu 2.54, 8 Ni 2.55-2.56

No. 5
DFT (PBE) results for a relaxed structure of Zn3CuNi2.

Results
The energy above the most stable polymorph in this dataset comes out at 13 meV/atom. As for the theoretical density: 8.41 Mg/m³. The value obtained for the total energy is -3.426 eV/atom. The total magnetization is 0.000 μB per formula unit. As for the crystal system: orthorhombic. The calculation puts the formation energy at -4.14 kcal/mol of atoms. As for the space group: Cmmm.

Cell lengths 4.1945, 6.6323, 5.6436 Å; angles 90.00, 90.00, 71.57 degrees
Closest atoms and distances in Å follow each position.
Sites, in units of the cell vectors:
Cu 0.6666 0.6668 0.0000  8 Zn 2.54-2.57, 2 Ni 2.82
Cu 0.3334 0.3332 0.0000  8 Zn 2.54-2.57, 2 Ni 2.82
Ni 0.0000 0.0000 0.5000  8 Zn 2.49-2.51
Ni 0.0000 0.0000 0.0000  8 Zn 2.52-2.54, 2 Ni 2.82
Ni 0.6683 0.6634 0.5000  8 Zn 2.51-2.53
Ni 0.3317 0.3366 0.5000  8 Zn 2.51-2.53
Zn 0.1647 0.6706 0.7449  5 Ni 2.49-2.52, 3 Cu 2.54-2.57, 1 Zn 2.76
Zn 0.8353 0.3294 0.7449  5 Ni 2.49-2.52, 3 Cu 2.54-2.57, 1 Zn 2.76
Zn 0.8353 0.3294 0.2551  5 Ni 2.49-2.52, 3 Cu 2.54-2.57, 1 Zn 2.76
Zn 0.5000 0.0000 0.7458  6 Ni 2.51-2.54, 2 Cu 2.54, 1 Zn 2.77
Zn 0.5000 0.0000 0.2542  6 Ni 2.51-2.54, 2 Cu 2.54, 1 Zn 2.77
Zn 0.1647 0.6706 0.2551  5 Ni 2.49-2.52, 3 Cu 2.54-2.57, 1 Zn 2.76

No. 6
DFT (PBE) results for a relaxed structure of Zn3CuNi2.

Results
The energy above the most stable polymorph in this dataset comes out at 0 meV/atom. As for the theoretical density: 8.39 Mg/m³. The value obtained for the total energy is -3.439 eV/atom. The total magnetization is 0.000 μB per formula unit. As for the crystal system: tetragonal. The calculation puts the formation energy at -4.44 kcal/mol of atoms. As for the space group: P4/mmm.

Cell lengths 2.7006, 2.7006, 10.2290 Å; angles 90.00, 90.00, 90.00 degrees
Closest atoms and distances in Å follow each position.
Sites, in units of the cell vectors:
Ni 0.5000 0.5000 0.1625  8 Zn 2.52-2.53, 4 Ni 2.70
Ni 0.5000 0.5000 0.8375  8 Zn 2.52-2.53, 4 Ni 2.70
Zn 0.0000 0.0000 0.6762  4 Ni 2.52, 4 Cu 2.63, 4 Zn 2.70
Zn 0.0000 0.0000 0.0000  8 Ni 2.53, 4 Zn 2.70
Zn 0.0000 0.0000 0.3238  4 Ni 2.52, 4 Cu 2.63, 4 Zn 2.70
Cu 0.5000 0.5000 0.5000  8 Zn 2.63, 4 Cu 2.70

No. 7
DFT (PBE) results for a relaxed structure of ZnCu2Ni2.

Results
The energy above the most stable polymorph in this dataset comes out at 173 meV/atom. As for the theoretical density: 8.28 Mg/m³. The value obtained for the total energy is -4.105 eV/atom. The total magnetization is 0.000 μB per formula unit. As for the crystal system: tetragonal. The calculation puts the formation energy at 2.32 kcal/mol of atoms. As for the space group: P4/mbm.

Cell lengths 6.7740, 6.7740, 2.7087 Å; angles 90.00, 90.00, 90.00 degrees
Closest atoms and distances in Å follow each position.
Sites, in units of the cell vectors:
Zn 0.5000 0.5000 0.0000  4 Ni 2.66, 2 Zn 2.71, 8 Cu 2.86
Zn 0.0000 0.0000 0.0000  4 Ni 2.66, 2 Zn 2.71, 8 Cu 2.86
Ni 0.1285 0.3715 0.0000  6 Cu 2.38-2.44, 1 Ni 2.46
Ni 0.8715 0.6285 0.0000  6 Cu 2.38-2.44, 1 Ni 2.46
Ni 0.6285 0.1285 0.0000  6 Cu 2.38-2.44, 1 Ni 2.46
Ni 0.3715 0.8715 0.0000  6 Cu 2.38-2.44, 1 Ni 2.46
Cu 0.3322 0.1678 0.5000  6 Ni 2.38-2.44
Cu 0.6678 0.8322 0.5000  6 Ni 2.38-2.44
Cu 0.1678 0.6678 0.5000  6 Ni 2.38-2.44
Cu 0.8322 0.3322 0.5000  6 Ni 2.38-2.44

No. 8
DFT (PBE) results for a relaxed structure of Zn3CuNi6.

Results
As for the theoretical density: 8.69 Mg/m³. The value obtained for the total energy is -4.385 eV/atom. The total magnetization is 0.562 μB per formula unit. As for the crystal system: monoclinic. The calculation puts the formation energy at -2.87 kcal/mol of atoms. As for the space group: P2_1/m.

Cell lengths 4.1388, 6.8029, 8.9798 Å; angles 112.37, 90.00, 90.00 degrees
Closest atoms and distances in Å follow each position.
Sites, in units of the cell vectors:
Zn 0.7500 0.6426 0.2266  8 Ni 2.48-2.58, 1 Cu 2.61, 3 Zn 2.65-2.71
Zn 0.2500 0.5600 0.3769  9 Ni 2.48-2.63, 1 Cu 2.63, 2 Zn 2.65
Zn 0.2500 0.7708 0.9760  11 Ni 2.49-2.59, 1 Zn 2.71
Zn 0.2500 0.3574 0.7734  8 Ni 2.48-2.58, 1 Cu 2.61, 3 Zn 2.65-2.71
Zn 0.7500 0.2292 0.0240  11 Ni 2.49-2.59, 1 Zn 2.71
Zn 0.7500 0.4400 0.6231  9 Ni 2.48-2.63, 1 Cu 2.63, 2 Zn 2.65
Ni 0.2500 0.6690 0.6762  5 Zn 2.50-2.58, 6 Ni 2.50-2.71, 1 Cu 2.52
Ni 0.2500 0.4614 0.0730  7 Zn 2.51-2.57, 5 Ni 2.51-2.66
Ni 0.7500 0.5386 0.9270  7 Zn 2.51-2.57, 5 Ni 2.51-2.66
Ni 0.7500 0.8373 0.8276  8 Ni 2.48-2.55, 4 Zn 2.58-2.63
Ni 0.2500 0.1627 0.1724  8 Ni 2.48-2.55, 4 Zn 2.58-2.63
Ni 0.7500 0.9413 0.1317  4 Zn 2.48-2.52, 1 Cu 2.50, 7 Ni 2.50-2.66
Ni 0.7500 0.7414 0.5325  5 Ni 2.48-2.71, 4 Zn 2.48-2.57, 3 Cu 2.51
Ni 0.2500 0.2586 0.4675  5 Ni 2.48-2.71, 4 Zn 2.48-2.57, 3 Cu 2.51
Ni 0.7500 0.3310 0.3238  5 Zn 2.50-2.58, 6 Ni 2.50-2.71, 1 Cu 2.52
Ni 0.2500 0.0587 0.8683  4 Zn 2.48-2.52, 1 Cu 2.50, 7 Ni 2.50-2.66
Ni 0.2500 0.8684 0.2725  4 Zn 2.49-2.60, 5 Ni 2.49-2.66, 3 Cu 2.50-2.52
Ni 0.7500 0.1316 0.7275  4 Zn 2.49-2.60, 5 Ni 2.49-2.66, 3 Cu 2.50-2.52
Cu 0.2500 0.9630 0.5703  8 Ni 2.50-2.52, 2 Cu 2.57, 2 Zn 2.61-2.63
Cu 0.7500 0.0370 0.4297  8 Ni 2.50-2.52, 2 Cu 2.57, 2 Zn 2.61-2.63